(1)
The following is a GGA-PBE calculation of a geometry-optimized WBrN2 structure, from Alexandria via LeMat-Bulk.

Output
The calculation puts the total energy at -7.46 eV/atom. Its uncorrected formation energy is 0.36 eV/atom.

Lattice parameters (Å, degrees): 3.0779 3.0779 19.8883 90.00 90.00 120.00
Space group R-3m (No. 166, hexagonal axes)
Asymmetric unit:
1 W 0.0000 0.0000 0.0000
2 Br 0.0000 0.0000 0.5000
3 N 0.0000 0.0000 0.3896


(2)
The following is a GGA-PBE calculation of a geometry-optimized WBr2N structure, from Alexandria via LeMat-Bulk.

Output
The calculation puts the total energy at -4.45 eV/atom. Its uncorrected formation energy is 1.70 eV/atom.

Lattice parameters (Å, degrees): 3.2852 3.2852 31.4474 90.00 90.00 120.00
Space group R-3m (No. 166, hexagonal axes)
Asymmetric unit:
1 W 0.0000 0.0000 0.0000
2 Br 0.0000 0.0000 0.0755
3 N 0.0000 0.0000 0.5000


(3)
The following is a GGA-PBE calculation of a geometry-optimized WBr2N structure, from Alexandria via LeMat-Bulk.

Output
The calculation puts the total energy at -4.39 eV/atom. Its uncorrected formation energy is 1.77 eV/atom.

Lattice parameters (Å, degrees): 6.276 6.276 6.276 90.00 90.00 90.00
Space group Fm-3m (No. 225)
Asymmetric unit:
1 W 0.000 0.000 0.000
2 Br 0.250 0.250 0.250
3 N 0.000 0.000 0.500


> Among the records above, which one has the lowest total energy?

WBrN2


> Number 2 is which compound?

WBr2N


> Among the records above, which one has the lowest total energy?

WBrN2